Record 1
The following is a PBE calculation of crystalline Ho2Fe14B at its relaxed geometry, from OQMD via LeMat-Bulk.

a b c (Å): 8.709 8.709 11.876
angles (deg): 90.00 90.00 90.00
Atoms (fractional coordinates):
Ho: 0.143 0.143 0.000
Ho: 0.232 0.232 0.500
Ho: 0.268 0.732 0.000
Ho: 0.357 0.643 0.500
Ho: 0.643 0.357 0.500
Ho: 0.732 0.268 0.000
Ho: 0.768 0.768 0.500
Ho: 0.857 0.857 0.000
Fe: 0.000 0.000 0.384
Fe: 0.000 0.000 0.616
Fe: 0.000 0.500 0.000
Fe: 0.000 0.500 0.500
Fe: 0.037 0.641 0.174
Fe: 0.037 0.641 0.826
Fe: 0.066 0.724 0.373
Fe: 0.066 0.724 0.627
Fe: 0.097 0.903 0.200
Fe: 0.097 0.903 0.800
Fe: 0.141 0.463 0.326
Fe: 0.141 0.463 0.674
Fe: 0.183 0.183 0.254
Fe: 0.183 0.183 0.746
Fe: 0.224 0.434 0.127
Fe: 0.224 0.434 0.873
Fe: 0.276 0.934 0.373
Fe: 0.276 0.934 0.627
Fe: 0.317 0.683 0.246
Fe: 0.317 0.683 0.754
Fe: 0.359 0.963 0.174
Fe: 0.359 0.963 0.826
Fe: 0.403 0.403 0.300
Fe: 0.403 0.403 0.700
Fe: 0.434 0.224 0.127
Fe: 0.434 0.224 0.873
Fe: 0.463 0.141 0.326
Fe: 0.463 0.141 0.674
Fe: 0.500 0.000 0.000
Fe: 0.500 0.000 0.500
Fe: 0.500 0.500 0.116
Fe: 0.500 0.500 0.884
Fe: 0.537 0.859 0.326
Fe: 0.537 0.859 0.674
Fe: 0.566 0.776 0.127
Fe: 0.566 0.776 0.873
Fe: 0.597 0.597 0.300
Fe: 0.597 0.597 0.700
Fe: 0.641 0.037 0.174
Fe: 0.641 0.037 0.826
Fe: 0.683 0.317 0.246
Fe: 0.683 0.317 0.754
Fe: 0.724 0.066 0.373
Fe: 0.724 0.066 0.627
Fe: 0.776 0.566 0.127
Fe: 0.776 0.566 0.873
Fe: 0.817 0.817 0.254
Fe: 0.817 0.817 0.746
Fe: 0.859 0.537 0.326
Fe: 0.859 0.537 0.674
Fe: 0.903 0.097 0.200
Fe: 0.903 0.097 0.800
Fe: 0.934 0.276 0.373
Fe: 0.934 0.276 0.627
Fe: 0.963 0.359 0.174
Fe: 0.963 0.359 0.826
B: 0.125 0.875 0.500
B: 0.375 0.375 0.000
B: 0.625 0.625 0.000
B: 0.875 0.125 0.500

Calculated values
E_tot: -7.889 eV per atom
Size of the total moment: 30.89 μB per formula unit

=====

Record 2
The following is a PBE calculation of crystalline LiSmCoS3 at its relaxed geometry, from OQMD via LeMat-Bulk.

a b c (Å): 6.199 6.199 10.722
angles (deg): 90.00 90.00 144.15
Atoms (fractional coordinates):
Li: 0.228 0.772 0.750
Li: 0.772 0.228 0.250
Sm: 0.000 0.000 0.000
Sm: 0.000 0.000 0.500
Co: 0.480 0.520 0.250
Co: 0.520 0.480 0.750
S: 0.085 0.915 0.250
S: 0.354 0.646 0.093
S: 0.354 0.646 0.407
S: 0.646 0.354 0.593
S: 0.646 0.354 0.907
S: 0.915 0.085 0.750

Calculated values
E_tot: -5.501 eV per atom
Size of the total moment: 2.61 μB per formula unit

=====

Record 3
The following is a PBE calculation of crystalline Li2Zn2Cd2PdPt at its relaxed geometry, from OQMD via LeMat-Bulk.

a b c (Å): 4.459 4.459 6.304
angles (deg): 90.00 90.00 90.00
Atoms (fractional coordinates):
Li: 0.000 0.000 0.000
Li: 0.500 0.500 0.500
Zn: 0.000 0.500 0.250
Zn: 0.500 0.000 0.750
Cd: 0.000 0.500 0.749
Cd: 0.500 0.000 0.251
Pd: 0.000 0.000 0.500
Pt: 0.500 0.500 0.000

Calculated values
E_tot: -2.852 eV per atom
Size of the total moment: 0.00 μB per formula unit

=====

Record 4
The following is a PBE calculation of crystalline NdLuZn2Si2 at its relaxed geometry, from OQMD via LeMat-Bulk.

a b c (Å): 4.153 4.153 15.921
angles (deg): 90.00 90.00 120.00
Atoms (fractional coordinates):
Nd: 0.000 0.000 0.250
Nd: 0.000 0.000 0.750
Lu: 0.000 0.000 0.000
Lu: 0.000 0.000 0.500
Zn: 0.333 0.667 0.128
Zn: 0.333 0.667 0.372
Zn: 0.667 0.333 0.628
Zn: 0.667 0.333 0.872
Si: 0.333 0.667 0.613
Si: 0.333 0.667 0.887
Si: 0.667 0.333 0.113
Si: 0.667 0.333 0.387

Calculated values
E_tot: -4.374 eV per atom
Size of the total moment: 0.00 μB per formula unit

=====

Record 5
The following is a PBE calculation of crystalline BaCdTeO at its relaxed geometry, from OQMD via LeMat-Bulk.

a b c (Å): 4.362 4.362 13.349
angles (deg): 90.00 90.00 90.00
Atoms (fractional coordinates):
Ba: 0.250 0.250 0.094
Ba: 0.750 0.750 0.906
Cd: 0.250 0.250 0.592
Cd: 0.750 0.750 0.408
Te: 0.250 0.250 0.371
Te: 0.750 0.750 0.629
O: 0.250 0.750 0.000
O: 0.750 0.250 0.000

Calculated values
E_tot: -4.001 eV per atom

=====

Record 6
The following is a PBE calculation of crystalline HfMgReAs at its relaxed geometry, from OQMD via LeMat-Bulk.

a b c (Å): 4.560 4.560 4.560
angles (deg): 60.00 60.00 60.00
Atoms (fractional coordinates):
Hf: 0.000 0.000 0.000
Mg: 0.250 0.250 0.250
Re: 0.750 0.750 0.750
As: 0.500 0.500 0.500

Calculated values
E_tot: -7.060 eV per atom
Size of the total moment: 0.00 μB per formula unit

=====

Question: Which value of E_tot does entry 6 give?
Answer: -7.060 eV per atom

=====

What did the fourth record say?
The following is a PBE calculation of crystalline NdLuZn2Si2 at its relaxed geometry, from OQMD via LeMat-Bulk.

a b c (Å): 4.153 4.153 15.921
angles (deg): 90.00 90.00 120.00
Atoms (fractional coordinates):
Nd: 0.000 0.000 0.250
Nd: 0.000 0.000 0.750
Lu: 0.000 0.000 0.000
Lu: 0.000 0.000 0.500
Zn: 0.333 0.667 0.128
Zn: 0.333 0.667 0.372
Zn: 0.667 0.333 0.628
Zn: 0.667 0.333 0.872
Si: 0.333 0.667 0.613
Si: 0.333 0.667 0.887
Si: 0.667 0.333 0.113
Si: 0.667 0.333 0.387

Calculated values
E_tot: -4.374 eV per atom
Size of the total moment: 0.00 μB per formula unit

=====

Question: Which value of E_tot does entry 6 give?
Answer: -7.060 eV per atom

=====

Question: The highest E_tot belongs to which entry?
Answer: Li2Zn2Cd2PdPt